1.
Computed, not measured: a relaxed structure of CdH12C2S2N6Cl4 at the PBE level of DFT.

The structure in POSCAR format:
```
CdH12C2S2N6Cl4
1.0
7.146 0.000 0.000
0.000 8.355 0.000
-6.155 0.000 10.815
Cd H C S N Cl
2 24 4 4 12 8
Direct
0.000 0.000 0.000
0.000 0.500 0.500
0.164 0.037 0.761
0.164 0.463 0.261
0.230 0.182 0.426
0.230 0.318 0.926
0.251 0.526 0.941
0.251 0.974 0.441
0.267 0.650 0.286
0.267 0.850 0.786
0.313 0.648 0.123
0.313 0.852 0.623
0.437 0.014 0.839
0.437 0.486 0.339
0.563 0.514 0.661
0.563 0.986 0.161
0.687 0.148 0.377
0.687 0.352 0.877
0.733 0.150 0.214
0.733 0.350 0.714
0.749 0.026 0.559
0.749 0.474 0.059
0.770 0.682 0.074
0.770 0.818 0.574
0.836 0.537 0.739
0.836 0.963 0.239
0.266 0.100 0.589
0.266 0.400 0.089
0.734 0.600 0.911
0.734 0.900 0.411
0.257 0.223 0.153
0.257 0.277 0.653
0.743 0.723 0.347
0.743 0.777 0.847
0.255 0.083 0.479
0.255 0.417 0.979
0.289 0.537 0.152
0.289 0.963 0.652
0.292 0.533 0.266
0.292 0.967 0.766
0.708 0.033 0.234
0.708 0.467 0.734
0.711 0.037 0.348
0.711 0.463 0.848
0.745 0.583 0.021
0.745 0.917 0.521
0.087 0.626 0.717
0.087 0.874 0.217
0.338 0.663 0.519
0.338 0.837 0.019
0.662 0.163 0.981
0.662 0.337 0.481
0.913 0.126 0.783
0.913 0.374 0.283
```

Summary:
Crystal system ... monoclinic
Symmetry ... P2_1/c, No. 14

---

2.
Computed, not measured: a relaxed structure of TbSi2Pd at the PBE level of DFT.

The structure in POSCAR format:
```
TbSi2Pd
1.0
3.812 0.000 0.000
0.000 5.107 0.000
0.000 0.000 7.731
Tb Si Pd
2 4 2
Direct
0.000 0.003 0.000
0.000 0.997 0.500
0.000 0.477 0.750
0.000 0.523 0.250
0.500 0.206 0.250
0.500 0.794 0.750
0.500 0.497 0.502
0.500 0.503 0.002
```

Summary:
Crystal system ... orthorhombic
Symmetry ... Pmc2_1, No. 26

---

3.
Computed, not measured: a relaxed structure of Gd2BeCuSi2 at the PBE level of DFT.

The structure in POSCAR format:
```
Gd2BeCuSi2
1.0
3.987 0.000 0.000
-1.994 3.453 0.000
0.000 0.000 8.108
Gd Be Cu Si
2 1 1 2
Direct
0.000 0.000 0.250
0.000 0.000 0.750
0.333 0.667 0.000
0.667 0.333 0.500
0.333 0.667 0.500
0.667 0.333 0.000
```

Summary:
Crystal system ... hexagonal
Symmetry ... P-6m2, No. 187

---

4.
Computed, not measured: a relaxed structure of KCuCl3 at the PBE level of DFT.

The structure in POSCAR format:
```
KCuCl3
1.0
4.084 0.000 0.000
0.000 13.750 0.000
-1.202 0.000 8.661
K Cu Cl
4 4 12
Direct
0.223 0.171 0.444
0.223 0.329 0.944
0.777 0.671 0.056
0.777 0.829 0.556
0.252 0.551 0.662
0.252 0.949 0.162
0.748 0.051 0.838
0.748 0.449 0.338
0.171 0.097 0.034
0.171 0.403 0.534
0.273 0.701 0.762
0.273 0.799 0.262
0.323 0.510 0.175
0.323 0.990 0.675
0.677 0.010 0.325
0.677 0.490 0.825
0.727 0.201 0.738
0.727 0.299 0.238
0.829 0.597 0.466
0.829 0.903 0.966
```

Summary:
Crystal system ... monoclinic
Symmetry ... P2_1/c, No. 14

---

5.
Computed, not measured: a relaxed structure of AsPt7 at the PBE level of DFT.

The structure in POSCAR format:
```
AsPt7
1.0
2.824 0.000 0.000
0.000 3.851 0.000
0.000 0.000 31.497
As Pt
2 14
Direct
0.250 0.250 0.166
0.750 0.750 0.834
0.250 0.250 0.249
0.250 0.250 0.341
0.250 0.250 0.432
0.250 0.250 0.523
0.250 0.250 0.614
0.250 0.250 0.704
0.250 0.250 0.800
0.750 0.750 0.200
0.750 0.750 0.296
0.750 0.750 0.386
0.750 0.750 0.477
0.750 0.750 0.568
0.750 0.750 0.659
0.750 0.750 0.751
```

Summary:
Crystal system ... orthorhombic
Symmetry ... Pmmn, No. 59

---

6.
Computed, not measured: a relaxed structure of HgPdO3 at the PBE level of DFT.

The structure in POSCAR format:
```
HgPdO3
1.0
4.064 0.000 0.000
0.000 4.064 0.000
0.000 0.000 4.305
Hg Pd O
1 1 3
Direct
0.000 0.000 0.000
0.500 0.500 0.412
0.000 0.000 0.506
0.000 0.500 0.490
0.500 0.000 0.490
```

Summary:
Crystal system ... tetragonal
Symmetry ... P4mm, No. 99

---

7.
Computed, not measured: a relaxed structure of BaNaTmTe3 at the PBE level of DFT.

The structure in POSCAR format:
```
BaNaTmTe3
1.0
11.506 0.000 0.000
0.000 4.652 0.000
0.000 0.000 15.164
Ba Na Tm Te
4 4 4 12
Direct
0.250 0.250 0.003
0.250 0.750 0.503
0.750 0.250 0.497
0.750 0.750 0.997
0.249 0.250 0.722
0.251 0.750 0.222
0.749 0.250 0.778
0.751 0.750 0.278
0.002 0.250 0.250
0.498 0.750 0.750
0.502 0.250 0.250
0.998 0.750 0.750
0.041 0.250 0.613
0.043 0.750 0.113
0.248 0.750 0.833
0.252 0.250 0.333
0.457 0.250 0.613
0.459 0.750 0.113
0.541 0.250 0.887
0.543 0.750 0.387
0.748 0.750 0.667
0.752 0.250 0.167
0.957 0.250 0.887
0.959 0.750 0.387
```

Summary:
Crystal system ... orthorhombic
Symmetry ... Pnma, No. 62

---

8.
Computed, not measured: a relaxed structure of BaIn5CuPt at the PBE level of DFT.

The structure in POSCAR format:
```
BaIn5CuPt
1.0
-2.260 4.000 5.490
2.260 -4.000 5.490
2.260 4.000 -5.490
Ba In Cu Pt
1 5 1 1
Direct
0.000 0.000 0.000
0.149 0.344 0.805
0.458 0.653 0.806
0.508 0.008 0.500
0.539 0.344 0.195
0.847 0.653 0.194
0.745 0.245 0.500
0.264 0.764 0.500
```

Summary:
Crystal system ... orthorhombic
Symmetry ... Imm2, No. 44

---

These records have DFT total energy values of -0.367, -0.425, -0.384, -0.231, -0.434, -0.265, -0.308, -0.260 Ry per atom, in the order they appear.
These records have calculated volume values of 645.7, 150.5, 111.6, 486.4, 342.6, 71.1, 811.7, 198.6 Å³ per cell, in the order they appear.